[1]
Material: HoGa3FeCu
Method: DFT, PBE-GGA
State: optimized geometry

Properties
Raw total energy, eV/atom: -4.51
Density, g/cm3: 7.95
Formation enthalpy at 0 K, eV per atom: -0.145

Cell: 6.7377 6.7377 5.5792 Å, 90.00 90.00 125.54°
Atoms (fractional coordinates):
Ho  0.2269  0.7731  0.7500
Ho  0.7731  0.2269  0.2500
Ga  0.2026  0.2026  0.0000
Ga  0.2026  0.2026  0.5000
Ga  0.3526  0.6474  0.2500
Ga  0.6474  0.3526  0.7500
Ga  0.7974  0.7974  0.0000
Ga  0.7974  0.7974  0.5000
Fe  0.4432  0.5568  0.7500
Fe  0.5568  0.4432  0.2500
Cu  0.1483  0.8517  0.2500
Cu  0.8517  0.1483  0.7500


[2]
Material: NbInCu2As
Method: DFT, PBE-GGA
State: optimized geometry

Properties
Raw total energy, eV/atom: -3.81
Density, g/cm3: 5.54
Formation enthalpy at 0 K, eV per atom: 1.324

Cell: 4.7707 4.7707 5.3925 Å, 90.00 90.00 90.00°
Atoms (fractional coordinates):
Nb  0.0000  0.0000  0.0000
In  0.0000  0.0000  0.5000
Cu  0.0000  0.5000  0.0000
Cu  0.5000  0.0000  0.0000
As  0.5000  0.5000  0.5000


[3]
Material: Pa2AgPt3
Method: DFT, PBE-GGA
State: optimized geometry

Properties
Raw total energy, eV/atom: -7.12
Density, g/cm3: 13.31
Formation enthalpy at 0 K, eV per atom: -0.456

Cell: 9.3408 9.3408 9.3408 Å, 60.00 60.00 60.00°
Atoms (fractional coordinates):
Pa  0.2391  0.7536  0.7536
Pa  0.2464  0.2464  0.2464
Pa  0.2464  0.2464  0.7609
Pa  0.2464  0.7609  0.2464
Pa  0.7536  0.2391  0.7536
Pa  0.7536  0.7536  0.2391
Pa  0.7536  0.7536  0.7536
Pa  0.7609  0.2464  0.2464
Ag  0.0000  0.5000  0.5000
Ag  0.5000  0.0000  0.5000
Ag  0.5000  0.5000  0.0000
Ag  0.5000  0.5000  0.5000
Pt  0.1224  0.1224  0.6276
Pt  0.1224  0.6276  0.1224
Pt  0.1224  0.6276  0.6276
Pt  0.3724  0.3724  0.8776
Pt  0.3724  0.8776  0.3724
Pt  0.3724  0.8776  0.8776
Pt  0.6276  0.1224  0.1224
Pt  0.6276  0.1224  0.6276
Pt  0.6276  0.6276  0.1224
Pt  0.8776  0.3724  0.3724
Pt  0.8776  0.3724  0.8776
Pt  0.8776  0.8776  0.3724


[4]
Material: Mg4AlAu2
Method: DFT, PBE-GGA
State: optimized geometry

Properties
Raw total energy, eV/atom: -2.69
Density, g/cm3: 5.48
Formation enthalpy at 0 K, eV per atom: -0.303

Cell: 9.0666 9.0666 9.0666 Å, 29.19 29.19 29.19°
Atoms (fractional coordinates):
Mg  0.1112  0.1112  0.1112
Mg  0.2976  0.2976  0.2976
Mg  0.7024  0.7024  0.7024
Mg  0.8888  0.8888  0.8888
Al  0.5000  0.5000  0.5000
Au  0.4041  0.4041  0.4041
Au  0.5959  0.5959  0.5959


[5]
Material: LiPI3
Method: DFT, PBE-GGA
State: optimized geometry

Properties
Raw total energy, eV/atom: -2.54
Uncorrected formation energy, eV per atom: -0.143
Density, g/cm3: 3.94

Cell: 5.6091 5.6091 5.6091 Å, 90.00 90.00 90.00°
Atoms (fractional coordinates):
Li  0.0000  0.0000  0.0000
P  0.5000  0.5000  0.5000
I  0.0000  0.5000  0.5000
I  0.5000  0.0000  0.5000
I  0.5000  0.5000  0.0000


[6]
Material: YZr2Re
Method: DFT, PBE-GGA
State: optimized geometry

Properties
Raw total energy, eV/atom: -8.81
Density, g/cm3: 8.64
Formation enthalpy at 0 K, eV per atom: 0.195

Cell: 3.3933 5.1852 10.0011 Å, 90.00 90.00 90.00°
Atoms (fractional coordinates):
Y  0.0000  0.0000  0.0000
Y  0.5000  0.5000  0.0000
Zr  0.0000  0.0000  0.4349
Zr  0.0000  0.5000  0.7007
Zr  0.5000  0.0000  0.7007
Zr  0.5000  0.5000  0.4349
Re  0.0000  0.5000  0.2288
Re  0.5000  0.0000  0.2288


[7]
Material: RuPt2Cl
Method: DFT, PBE-GGA
State: optimized geometry

Properties
Raw total energy, eV/atom: -4.97
Uncorrected formation energy, eV per atom: 0.833
Density, g/cm3: 13.60

Cell: 3.7679 3.7679 4.5305 Å, 90.00 90.00 90.00°
Atoms (fractional coordinates):
Ru  0.0000  0.0000  0.0000
Pt  0.0000  0.5000  0.5000
Pt  0.5000  0.0000  0.5000
Cl  0.5000  0.5000  0.0000


[8]
Material: Th2NpSb3
Method: DFT, PBE-GGA
State: optimized geometry

Properties
Raw total energy, eV/atom: -7.38
Uncorrected formation energy, eV per atom: -0.686
Density, g/cm3: 9.29

Cell: 6.3368 13.4446 8.9502 Å, 90.00 90.00 90.00°
Atoms (fractional coordinates):
Th  0.2494  0.2474  0.3749
Th  0.2494  0.2526  0.8749
Th  0.2503  0.5826  0.8736
Th  0.2503  0.9174  0.3736
Th  0.7497  0.0826  0.6264
Th  0.7497  0.4174  0.1264
Th  0.7506  0.7474  0.1251
Th  0.7506  0.7526  0.6251
Np  0.2504  0.5853  0.3758
Np  0.2504  0.9147  0.8758
Np  0.7496  0.0853  0.1242
Np  0.7496  0.4147  0.6242
Sb  0.2497  0.0811  0.6296
Sb  0.2496  0.0818  0.1197
Sb  0.2496  0.4182  0.6197
Sb  0.2497  0.4189  0.1296
Sb  0.2506  0.7491  0.1249
Sb  0.2506  0.7509  0.6249
Sb  0.7494  0.2491  0.3751
Sb  0.7494  0.2509  0.8751
Sb  0.7503  0.5811  0.8704
Sb  0.7504  0.5818  0.3803
Sb  0.7504  0.9182  0.8803
Sb  0.7503  0.9189  0.3704


[9]
Material: Ca3SmPd
Method: DFT, PBE-GGA
State: optimized geometry

Properties
Raw total energy, eV/atom: -3.32
Density, g/cm3: 3.55
Formation enthalpy at 0 K, eV per atom: -0.132

Cell: 5.6096 5.6096 5.6096 Å, 90.00 90.00 90.00°
Atoms (fractional coordinates):
Ca  0.0000  0.0000  0.5000
Ca  0.0000  0.5000  0.0000
Ca  0.5000  0.0000  0.0000
Sm  0.5000  0.5000  0.5000
Pd  0.0000  0.0000  0.0000


[10]
Material: HfNbTe2W
Method: DFT, PBE-GGA
State: optimized geometry

Properties
Raw total energy, eV/atom: -6.58
Uncorrected formation energy, eV per atom: 1.276
Density, g/cm3: 8.85

Cell: 5.3051 5.3051 4.7387 Å, 90.00 90.00 90.00°
Atoms (fractional coordinates):
Hf  0.0000  0.0000  0.0000
Nb  0.5000  0.5000  0.5000
Te  0.0000  0.5000  0.5000
Te  0.5000  0.0000  0.5000
W  0.5000  0.5000  0.0000


[11]
Material: NbClF
Method: DFT, PBE-GGA
State: optimized geometry

Properties
Raw total energy, eV/atom: -5.97
Uncorrected formation energy, eV per atom: -1.373
Density, g/cm3: 4.39

Cell: 3.1698 14.2767 4.9285 Å, 90.00 90.00 90.00°
Atoms (fractional coordinates):
Nb  0.0000  0.2081  0.0000
Nb  0.0000  0.7919  0.5000
Nb  0.5000  0.2919  0.5000
Nb  0.5000  0.7081  0.0000
Cl  0.0000  0.3721  0.1687
Cl  0.0000  0.6279  0.6687
Cl  0.5000  0.1279  0.6687
Cl  0.5000  0.8721  0.1687
F  0.0000  0.0854  0.1689
F  0.0000  0.9146  0.6689
F  0.5000  0.4146  0.6689
F  0.5000  0.5854  0.1689


[12]
Material: Na2ZnAu
Method: DFT, PBE-GGA
State: optimized geometry

Properties
Raw total energy, eV/atom: -1.90
Density, g/cm3: 5.77
Formation enthalpy at 0 K, eV per atom: -0.098

Cell: 3.7844 3.7844 6.1958 Å, 90.00 90.00 90.00°
Atoms (fractional coordinates):
Na  0.0000  0.0000  0.2389
Na  0.0000  0.0000  0.7611
Zn  0.5000  0.5000  0.5000
Au  0.5000  0.5000  0.0000